[1]
# PmDyTl, optimized geometry, DFT GGA-PBE
# ΔE to the lowest computed polymorph (meV per atom): 0.0
# Uncorrected energy (eV for the cell shown): -25.019
data_PmDyTl
_chemical_formula_sum 'Pm2 Dy2 Tl2'
_cell_length_a 5.4846
_cell_length_b 5.4846
_cell_length_c 6.7645
_cell_angle_alpha 90.00
_cell_angle_beta 90.00
_cell_angle_gamma 120.00
_symmetry_space_group_name_H-M 'P 63/m m c'
_symmetry_Int_Tables_number 194
_symmetry_space_group_name_Hall '-P 6c 2c'
loop_
_atom_site_label
_atom_site_fract_x
_atom_site_fract_y
_atom_site_fract_z
Pm1 0.0000 0.0000 0.0000
Dy1 0.3333 0.6667 0.2500
Tl1 0.3333 0.6667 0.7500

***

[2]
# PmDyTl, optimized geometry, DFT GGA-PBE
# ΔE to the lowest computed polymorph (meV per atom): 103.5
# Uncorrected energy (eV for the cell shown): -12.199
data_PmDyTl
_chemical_formula_sum 'Pm1 Dy1 Tl1'
_cell_length_a 5.3039
_cell_length_b 5.3039
_cell_length_c 3.7526
_cell_angle_alpha 90.00
_cell_angle_beta 90.00
_cell_angle_gamma 120.00
_symmetry_space_group_name_H-M 'P 3 m 1'
_symmetry_Int_Tables_number 156
_symmetry_space_group_name_Hall 'P 3 -2"'
loop_
_atom_site_label
_atom_site_fract_x
_atom_site_fract_y
_atom_site_fract_z
Pm1 0.0000 0.0000 0.0000
Dy1 0.3333 0.6667 0.4679
Tl1 0.6667 0.3333 0.6035

***

Number 1: density 9.647 g cm⁻³. Number 2: density 9.297 g cm⁻³.